1.
Density functional theory data (PBE) for crystalline Tl4Au3 at its relaxed geometry.

abc: 13.414 4.603 6.540
angles: 90.00 113.67 90.00
Space group C2/m (No. 12)
Inequivalent atoms, fractional coordinates:
1 Tl 0.058 0.000 0.319 [4 per cell]
2 Tl 0.167 0.500 0.792 [4 per cell]
3 Au 0.000 0.500 0.000 [2 per cell]
4 Au 0.218 0.500 0.324 [4 per cell]

Summary:
Calculated density = 12.65 g/cm³
E above lowest polymorph = 0.017 eV/atom
Energy of formation from the pure elements = -0.019 eV/atom

2.
Density functional theory data (PBE) for crystalline Si2TePb2 at its relaxed geometry.

abc: 7.839 7.839 4.217
angles: 90.00 90.00 90.00
Space group P4/mbm (No. 127)
Inequivalent atoms, fractional coordinates:
1 Si 0.107 0.393 0.000 [4 per cell]
2 Te 0.000 0.000 0.000 [2 per cell]
3 Pb 0.188 0.688 0.500 [4 per cell]

Summary:
Raw formation energy = 0.34 eV per atom
Calculated density = 7.67 g/cm³
E above lowest polymorph = 0.142 eV/atom

3.
Density functional theory data (PBE) for crystalline Mg5Co2Sn4 at its relaxed geometry.

abc: 7.411 3.403 9.043
angles: 90.00 94.34 90.00
Space group P2/m (No. 10)
Inequivalent atoms, fractional coordinates:
1 Mg 0.000 0.000 0.000 [1 per cell]
2 Mg 0.041 0.000 0.334 [2 per cell]
3 Mg 0.347 0.000 0.853 [2 per cell]
4 Co 0.422 0.000 0.362 [2 per cell]
5 Sn 0.301 0.500 0.561 [2 per cell]
6 Sn 0.302 0.500 0.152 [2 per cell]

Summary:
Calculated density = 5.22 g/cm³
Energy of formation from the pure elements = -0.060 eV/atom

4.
Density functional theory data (PBE) for crystalline K2Hf2CrS6 at its relaxed geometry.

abc: 6.303 10.902 7.870
angles: 90.00 105.68 90.00
Space group C2/m (No. 12)
Inequivalent atoms, fractional coordinates:
1 K 0.000 0.167 0.000 [4 per cell]
2 Hf 0.000 0.331 0.500 [4 per cell]
3 Cr 0.000 0.000 0.500 [2 per cell]
4 S 0.230 0.162 0.690 [8 per cell]
5 S 0.240 0.500 0.686 [4 per cell]

Summary:
Raw formation energy = -1.36 eV per atom
Calculated density = 4.33 g/cm³

5.
Density functional theory data (PBE) for crystalline V12Si6C at its relaxed geometry.

abc: 10.1345 10.1345 8.9921
angles: 90.00 90.00 120.00
Space group R-3 (No. 148, hexagonal axes)
Inequivalent atoms, fractional coordinates:
1 V 0.0401 0.1854 0.3673 [18 per cell]
2 V 0.0715 0.1821 0.8674 [18 per cell]
3 Si 0.0320 0.4233 0.2901 [18 per cell]
4 C 0.0000 0.0000 0.0000 [3 per cell]

Summary:
Raw formation energy = -0.10 eV per atom
Calculated density = 4.93 g/cm³

6.
Density functional theory data (PBE) for crystalline K2CaCl at its relaxed geometry.

abc: 4.172 7.353 11.899
angles: 90.00 90.00 90.00
Space group Cmm2 (No. 35)
Inequivalent atoms, fractional coordinates:
1 K 0.000 0.000 0.000 [2 per cell]
2 K 0.000 0.500 0.333 [2 per cell]
3 Ca 0.000 0.000 0.631 [2 per cell]
4 Cl 0.000 0.500 0.795 [2 per cell]

Summary:
Raw formation energy = -0.75 eV per atom
Calculated density = 1.40 g/cm³
E above lowest polymorph = 0.101 eV/atom

7.
Density functional theory data (PBE) for crystalline ScAl3Tc at its relaxed geometry.

abc: 7.389 11.137 4.911
angles: 90.00 90.00 90.00
Space group Cmcm (No. 63)
Inequivalent atoms, fractional coordinates:
1 Sc 0.000 0.090 0.250 [4 per cell]
2 Al 0.000 0.500 0.000 [4 per cell]
3 Al 0.168 0.248 0.750 [8 per cell]
4 Tc 0.000 0.308 0.250 [4 per cell]

Summary:
Calculated density = 3.68 g/cm³
E above lowest polymorph = 0.539 eV/atom
Energy of formation from the pure elements = 0.040 eV/atom

8.
Density functional theory data (PBE) for crystalline Hf2GePbS at its relaxed geometry.

abc: 4.770 4.770 5.511
angles: 90.00 90.00 90.00
Space group P4/mmm (No. 123)
Inequivalent atoms, fractional coordinates:
1 Hf 0.000 0.500 0.000 [2 per cell]
2 Ge 0.000 0.000 0.500 [1 per cell]
3 Pb 0.500 0.500 0.500 [1 per cell]
4 S 0.500 0.500 0.000 [1 per cell]

Summary:
Raw formation energy = 0.23 eV per atom
Calculated density = 8.86 g/cm³

Calculated magnetic moment (μB/cell), listed in the same order as above: 0.000, 0.000, 0.000, 5.880, 0.000, 0.001, 0.000, 0.000
Calculated energy (eV per atom), listed in the same order as above: -2.7756, -3.9417, -3.5322, -6.4980, -8.0574, -2.2621, -5.5448, -6.2446